Entry 1:
Y2ScI | PBE | optimized geometry

Properties
Formation energy without anion corrections (eV per atom): -0.255

a b c (Å): 3.607 3.607 9.153
angles (deg): 90.00 90.00 90.00
Space group P4/mmm (No. 123)
Symmetry-distinct sites (fractional):
Y 0.000 0.000 0.244 (multiplicity 2)
Sc 0.500 0.500 0.000 (multiplicity 1)
I 0.500 0.500 0.500 (multiplicity 1)

***

Entry 2:
Ca2Lu | PBE | optimized geometry

Properties
Energy of formation from the pure elements (eV per formula unit): 1.15

a b c (Å): 9.686 9.686 9.686
angles (deg): 90.00 90.00 90.00
Space group Fd-3m (No. 227, origin choice 2)
Symmetry-distinct sites (fractional):
Ca 0.000 0.000 0.000 (multiplicity 16)
Lu 0.125 0.125 0.625 (multiplicity 8)

***

Entry 3:
KLiF3 | PBE | optimized geometry

Properties
Formation energy without anion corrections (eV per atom): -2.266

a b c (Å): 5.4973 5.4973 7.5001
angles (deg): 90.00 90.00 120.00
Space group R3m (No. 160, hexagonal axes)
Symmetry-distinct sites (fractional):
K 0.0000 0.0000 0.0000 (multiplicity 3)
Li 0.0000 0.0000 0.5007 (multiplicity 3)
F 0.0001 0.5000 0.0005 (multiplicity 9)

***

Entry 4:
KTcPb2 | PBE | optimized geometry

Properties
Energy of formation from the pure elements (eV per formula unit): 1.55

a b c (Å): 3.346 4.385 16.461
angles (deg): 90.00 90.00 90.00
Space group Imm2 (No. 44)
Symmetry-distinct sites (fractional):
K 0.000 0.000 0.000 (multiplicity 2)
Tc 0.000 0.500 0.708 (multiplicity 2)
Pb 0.000 0.000 0.345 (multiplicity 2)
Pb 0.000 0.500 0.180 (multiplicity 2)

***

Entry 5:
ZnSbO3 | PBE | optimized geometry

Properties
Formation energy without anion corrections (eV per atom): -0.802

a b c (Å): 3.969 3.969 3.969
angles (deg): 90.00 90.00 90.00
Space group Pm-3m (No. 221)
Symmetry-distinct sites (fractional):
Zn 0.000 0.000 0.000 (multiplicity 1)
Sb 0.500 0.500 0.500 (multiplicity 1)
O 0.000 0.500 0.500 (multiplicity 3)

***

Entry 6:
Tb2ScInC | PBE | optimized geometry

Properties
Energy of formation from the pure elements (eV per formula unit): -2.64

a b c (Å): 4.961 4.961 4.580
angles (deg): 90.00 90.00 90.00
Space group P4/mmm (No. 123)
Symmetry-distinct sites (fractional):
Tb 0.000 0.500 0.000 (multiplicity 2)
Sc 0.000 0.000 0.500 (multiplicity 1)
In 0.500 0.500 0.500 (multiplicity 1)
C 0.000 0.000 0.000 (multiplicity 1)

***

Entry 7:
BaLiNiSb2 | PBE | optimized geometry

Properties
Formation energy without anion corrections (eV per atom): -0.627

a b c (Å): 4.639 4.639 11.284
angles (deg): 90.00 90.00 90.00
Space group I-4m2 (No. 119)
Symmetry-distinct sites (fractional):
Ba 0.000 0.000 0.000 (multiplicity 2)
Li 0.000 0.500 0.750 (multiplicity 2)
Ni 0.000 0.500 0.250 (multiplicity 2)
Sb 0.000 0.000 0.364 (multiplicity 4)

***

Entry 8:
CrP2 | PBE | optimized geometry

Properties
Energy of formation from the pure elements (eV per formula unit): 1.36

a b c (Å): 4.2642 4.2642 5.3679
angles (deg): 90.00 90.00 120.00
Space group P6_3/mmc (No. 194)
Symmetry-distinct sites (fractional):
Cr 0.0000 0.0000 0.2500 (multiplicity 2)
P 0.3333 0.6667 0.0457 (multiplicity 4)

***

Entry 9:
TcTePt2W | PBE | optimized geometry

Properties
Formation energy without anion corrections (eV per atom): 1.675

a b c (Å): 4.796 4.796 5.008
angles (deg): 90.00 90.00 90.00
Space group P4/mmm (No. 123)
Symmetry-distinct sites (fractional):
Tc 0.000 0.000 0.000 (multiplicity 1)
Te 0.000 0.000 0.500 (multiplicity 1)
Pt 0.000 0.500 0.000 (multiplicity 2)
W 0.500 0.500 0.500 (multiplicity 1)

***

Entry 10:
Rb12Pt3Cl5 | PBE | optimized geometry

Properties
Formation energy without anion corrections (eV per atom): -0.870

a b c (Å): 19.473 19.473 19.473
angles (deg): 90.00 90.00 90.00
Space group Ia-3d (No. 230)
Symmetry-distinct sites (fractional):
Rb 0.016 0.068 0.655 (multiplicity 96)
Pt 0.000 0.250 0.125 (multiplicity 24)
Cl 0.000 0.000 0.000 (multiplicity 16)
Cl 0.000 0.250 0.375 (multiplicity 24)

***

Entry 11:
HoP2W | PBE | optimized geometry

Properties
Energy of formation from the pure elements (eV per formula unit): -2.67

a b c (Å): 3.7774 3.7774 17.6349
angles (deg): 90.00 90.00 120.00
Space group R-3m (No. 166, hexagonal axes)
Symmetry-distinct sites (fractional):
Ho 0.0000 0.0000 0.0000 (multiplicity 3)
P 0.0000 0.0000 0.2378 (multiplicity 6)
W 0.0000 0.0000 0.5000 (multiplicity 3)

***

Entry 12:
CsInOs3 | PBE | optimized geometry

Properties
Energy of formation from the pure elements (eV per formula unit): 13.81

a b c (Å): 5.060 5.060 5.060
angles (deg): 90.00 90.00 90.00
Space group Pm-3m (No. 221)
Symmetry-distinct sites (fractional):
Cs 0.000 0.000 0.000 (multiplicity 1)
In 0.500 0.500 0.500 (multiplicity 1)
Os 0.000 0.500 0.500 (multiplicity 3)